Record 1
meta-GGA SCAN Ba2SrCa, single point on PBEsol structure; SG = Imm2 (44); ΔE_f = 40 meV/atom; E_tot = -27.72 eV/atom; energy relative to the lowest polymorph listed for this composition = 0.06 eV/f.u.
1.0
4.672 0.000 0.000
0.000 6.678 0.000
-2.336 -3.339 6.655
Sr Ca Ba
1 1 2
Direct
0.242 0.742 0.484
0.503 0.503 0.006
0.998 0.998 0.996
0.757 0.257 0.514

Record 2
meta-GGA SCAN TaC5, single point on PBEsol structure; SG = P-62m (189); ΔE_f = 2510 meV/atom; E_tot = -17.00 eV/atom
1.0
-1.992 -3.415 0.444
3.252 0.704 2.181
-2.326 1.735 2.908
C Ta
5 1
Direct
0.217 0.217 0.000
0.783 0.000 0.000
0.000 0.783 0.000
0.333 0.667 0.500
0.667 0.333 0.500
0.000 0.000 0.500